1.
Below is crystalline SrCrCo at its relaxed geometry, with properties calculated at the PBE level.

```
SrCrCo
1.0
4.886 0.000 0.000
2.443 4.231 0.000
2.443 1.410 3.989
Co Cr Sr
1 1 1
Direct
0.000 0.000 0.000
0.500 0.500 0.500
0.750 0.750 0.750
```

Output
Energy relative to the lowest polymorph listed for this composition, meV/atom: 1119
E_tot, eV for the cell shown: -13.39
Calculated density, g/cm³: 4.0

---

2.
Below is crystalline SrCr2Co at its relaxed geometry, with properties calculated at the PBE level.

```
SrCr2Co
1.0
0.000 3.109 3.109
3.109 0.000 3.109
3.109 3.109 0.000
Sr Co Cr
1 1 2
Direct
0.500 0.500 0.500
0.000 0.000 0.000
0.250 0.250 0.250
0.750 0.750 0.750
```

Output
Energy relative to the lowest polymorph listed for this composition, meV/atom: 892
E_tot, eV for the cell shown: -22.50
Calculated density, g/cm³: 6.9

---

3.
Below is crystalline Ta2Cr3Co at its relaxed geometry, with properties calculated at the PBE level.

```
Ta2Cr3Co
1.0
-1.837 -0.593 4.388
2.561 -3.514 -2.019
3.794 3.119 -0.608
Ta Cr Co
2 3 1
Direct
0.752 0.376 0.128
0.248 0.624 0.872
0.500 0.500 0.500
0.000 0.000 0.500
0.500 0.000 0.500
0.000 0.000 0.000
```

Output
E_tot, eV for the cell shown: -60.43
Calculated density, g/cm³: 11.7

---

4.
Below is crystalline Ta3Cr5Co12 at its relaxed geometry, with properties calculated at the PBE level.

```
Ta3Cr5Co12
1.0
11.535 0.000 0.000
-3.845 10.876 0.000
-3.845 -5.438 9.419
Ta Cr Co
12 20 48
Direct
0.750 0.375 0.125
0.875 0.750 0.125
0.375 0.750 0.625
0.250 0.125 0.375
0.875 0.125 0.250
0.375 0.625 0.250
0.625 0.375 0.750
0.125 0.875 0.750
0.750 0.875 0.625
0.625 0.250 0.375
0.125 0.250 0.875
0.250 0.625 0.875
0.125 0.375 0.250
0.000 0.500 0.000
0.000 0.000 0.000
0.375 0.250 0.125
0.500 0.000 0.500
0.500 0.500 0.000
0.125 0.750 0.375
0.750 0.125 0.875
0.750 0.625 0.375
0.375 0.125 0.750
0.625 0.875 0.250
0.500 0.500 0.500
0.500 0.000 0.000
0.000 0.000 0.500
0.250 0.375 0.625
0.250 0.875 0.125
0.000 0.500 0.500
0.875 0.250 0.625
0.625 0.750 0.875
0.875 0.625 0.750
0.721 0.126 0.052
0.331 0.552 0.426
0.948 0.374 0.279
0.552 0.221 0.126
0.595 0.721 0.669
0.948 0.574 0.169
0.331 0.779 0.405
0.074 0.905 0.126
0.574 0.948 0.669
0.721 0.595 0.169
0.779 0.448 0.374
0.831 0.926 0.052
0.126 0.721 0.552
0.374 0.426 0.095
0.095 0.926 0.374
0.405 0.126 0.574
0.095 0.169 0.221
0.448 0.669 0.074
0.831 0.905 0.279
0.126 0.405 0.074
0.374 0.948 0.779
0.574 0.626 0.405
0.926 0.831 0.552
0.779 0.331 0.905
0.426 0.374 0.595
0.074 0.169 0.448
0.221 0.669 0.095
0.169 0.095 0.721
0.626 0.052 0.221
0.874 0.595 0.926
0.552 0.331 0.926
0.595 0.874 0.426
0.905 0.831 0.779
0.905 0.074 0.626
0.874 0.279 0.448
0.169 0.074 0.948
0.626 0.574 0.905
0.426 0.052 0.331
0.279 0.405 0.831
0.221 0.552 0.626
0.926 0.095 0.874
0.669 0.221 0.595
0.448 0.779 0.874
0.052 0.426 0.831
0.405 0.279 0.331
0.052 0.626 0.721
0.669 0.448 0.574
0.279 0.874 0.948
```

Output
E_tot, eV for the cell shown: -608.46
Calculated density, g/cm³: 8.5

---

5.
Below is crystalline Ta2CrCo at its relaxed geometry, with properties calculated at the PBE level.

```
Ta2CrCo
1.0
-2.602 -1.298 -2.571
2.879 -1.123 -2.348
0.233 -9.169 1.463
Cr Co Ta
2 2 4
Direct
0.500 0.500 0.000
0.250 0.750 0.500
0.000 0.000 0.000
0.750 0.250 0.500
0.627 0.125 0.250
0.123 0.625 0.250
0.375 0.373 0.750
0.875 0.877 0.750
```

Output
E_tot, eV for the cell shown: -74.54
Calculated density, g/cm³: 11.7

---

6.
Below is crystalline Ta2CrCo at its relaxed geometry, with properties calculated at the PBE level.

```
Ta2CrCo
1.0
-0.614 3.847 1.997
-3.677 0.731 2.261
0.129 0.243 4.369
Co Cr Ta
1 1 2
Direct
0.500 0.500 0.500
0.250 0.250 0.250
0.000 0.000 0.000
0.750 0.750 0.750
```

Output
E_tot, eV for the cell shown: -39.83
Calculated density, g/cm³: 13.2

---

Number 1: volume 82 Å³/f.u., density of states at the Fermi level 8.27 states/eV/f.u., energy of formation from the pure elements 1673 meV per atom. Number 2: volume 60 Å³/f.u., density of states at the Fermi level 6.10 states/eV/f.u., energy of formation from the pure elements 1383 meV per atom. Number 3: volume 82 Å³/f.u., density of states at the Fermi level 8.51 states/eV/f.u., energy of formation from the pure elements -125 meV per atom. Number 4: volume 295 Å³/f.u., density of states at the Fermi level 18.35 states/eV/f.u., energy of formation from the pure elements 841 meV per atom. Number 5: volume 67 Å³/f.u., density of states at the Fermi level 2.70 states/eV/f.u., energy of formation from the pure elements 791 meV per atom. Number 6: volume 59 Å³/f.u., density of states at the Fermi level 5.08 states/eV/f.u., energy of formation from the pure elements 152 meV per atom.